Entry 1:
## Pr6Te2AuSe3 (PBE)

Data for crystalline Pr6Te2AuSe3 at its relaxed geometry.

Cell lengths 7.5773, 7.5773, 7.5600 Å; angles 99.64, 99.64, 119.89 degrees
Sites, in units of the cell vectors:
Pr1 0.0864 0.4118 0.7624
Pr2 0.2350 0.2350 0.2325
Pr3 0.4118 0.0864 0.7624
Pr4 0.5882 0.9136 0.2376
Pr5 0.7650 0.7650 0.7675
Pr6 0.9136 0.5882 0.2376
Te1 0.3351 0.6649 0.5000
Te2 0.6649 0.3351 0.5000
Au1 0.0000 0.0000 0.5000
Se1 0.1721 0.8279 0.0000
Se2 0.5000 0.5000 0.0000
Se3 0.8279 0.1721 0.0000

energy relative to the elements, uncorrected = -1.535 eV per atom
crystal system = monoclinic
space-group type = C2/m, No. 12


Entry 2:
## RbLiHg2Rh (PBE)

Data for crystalline RbLiHg2Rh at its relaxed geometry.

Cell lengths 5.3574, 5.3574, 4.9036 Å; angles 90.00, 90.00, 90.00 degrees
Sites, in units of the cell vectors:
Rb1 0.0000 0.0000 0.0000
Li1 0.5000 0.5000 0.0000
Hg1 0.0000 0.5000 0.5000
Hg2 0.5000 0.0000 0.5000
Rh1 0.5000 0.5000 0.5000

ΔH_f (0 K) = -51 kJ/mol of formula units
crystal system = tetragonal
space-group type = P4/mmm, No. 123


Entry 3:
## Sr2HgPt (PBE)

Data for crystalline Sr2HgPt at its relaxed geometry.

Cell lengths 3.8318, 3.8114, 7.7700 Å; angles 90.00, 90.14, 90.00 degrees
Sites, in units of the cell vectors:
Sr1 0.9999 0.0000 0.2259
Sr2 0.0001 0.0000 0.7741
Hg1 0.5000 0.5000 0.5000
Pt1 0.5000 0.5000 0.0000

ΔH_f (0 K) = -248 kJ/mol of formula units
crystal system = monoclinic
space-group type = P2/m, No. 10


Entry 4:
## Tb3ScRu4 (PBE)

Data for crystalline Tb3ScRu4 at its relaxed geometry.

Cell lengths 3.3740, 4.7521, 9.5004 Å; angles 90.00, 90.00, 90.00 degrees
Sites, in units of the cell vectors:
Tb1 0.0000 0.0000 0.0000
Tb2 0.0000 0.5000 0.2567
Tb3 0.0000 0.5000 0.7433
Sc1 0.0000 0.0000 0.5000
Ru1 0.5000 0.0000 0.2619
Ru2 0.5000 0.0000 0.7381
Ru3 0.5000 0.5000 0.0000
Ru4 0.5000 0.5000 0.5000

ΔH_f (0 K) = -255 kJ/mol of formula units
crystal system = orthorhombic
space-group type = Pmmm, No. 47


Entry 5:
## NaLa2YRh (PBE)

Data for crystalline NaLa2YRh at its relaxed geometry.

Cell lengths 5.6498, 5.6498, 5.5881 Å; angles 90.00, 90.00, 90.00 degrees
Sites, in units of the cell vectors:
Na1 0.0000 0.0000 0.0000
La1 0.0000 0.5000 0.5000
La2 0.5000 0.0000 0.5000
Y1 0.5000 0.5000 0.0000
Rh1 0.5000 0.5000 0.5000

ΔH_f (0 K) = -109 kJ/mol of formula units
crystal system = tetragonal
space-group type = P4/mmm, No. 123


Entry 6:
## PaTcNi (PBE)

Data for crystalline PaTcNi at its relaxed geometry.

Cell lengths 3.8779, 3.8779, 6.8356 Å; angles 90.00, 90.00, 90.00 degrees
Sites, in units of the cell vectors:
Pa1 0.2500 0.2500 0.1750
Pa2 0.7500 0.7500 0.8250
Tc1 0.2500 0.2500 0.7599
Tc2 0.7500 0.7500 0.2401
Ni1 0.2500 0.7500 0.5000
Ni2 0.7500 0.2500 0.5000

ΔH_f (0 K) = -61 kJ/mol of formula units
crystal system = tetragonal
space-group type = P4/nmm, No. 129
energy above the lowest structure with this stoichiometry = 0.125 eV per atom


Entry 7:
## TaTlPb2 (PBE)

Data for crystalline TaTlPb2 at its relaxed geometry.

Cell lengths 5.3064, 5.3064, 5.3064 Å; angles 60.00, 60.00, 60.00 degrees
Sites, in units of the cell vectors:
Ta1 0.0000 0.0000 0.0000
Tl1 0.5000 0.5000 0.5000
Pb1 0.2500 0.2500 0.2500
Pb2 0.7500 0.7500 0.7500

ΔH_f (0 K) = 321 kJ/mol of formula units
crystal system = cubic
space-group type = Fm-3m, No. 225
energy above the lowest structure with this stoichiometry = 0.507 eV per atom


Entry 8:
## MgGa2PbAu4 (PBE)

Data for crystalline MgGa2PbAu4 at its relaxed geometry.

Cell lengths 9.6935, 9.6935, 9.6935 Å; angles 26.65, 26.65, 26.65 degrees
Sites, in units of the cell vectors:
Mg1 0.0000 0.0000 0.0000
Ga1 0.2588 0.2588 0.2588
Ga2 0.7412 0.7412 0.7412
Pb1 0.5000 0.5000 0.5000
Au1 0.1021 0.1021 0.1021
Au2 0.3713 0.3713 0.3713
Au3 0.6287 0.6287 0.6287
Au4 0.8979 0.8979 0.8979

ΔH_f (0 K) = -185 kJ/mol of formula units
crystal system = trigonal
space-group type = R-3m, No. 166